## LiIn2Pb (meta-GGA SCAN)

Data for LiIn2Pb at its PBEsol-relaxed geometry.

abc: 11.306 3.757 5.040
angles: 90.00 115.50 90.00
Space group C2/m (No. 12)
Inequivalent atoms, fractional coordinates:
1 Li 0.000 0.000 0.000 [2 per cell]
2 In 0.233 0.500 0.232 [4 per cell]
3 Pb 0.000 0.500 0.500 [2 per cell]

The calculation puts the formation energy at -12.1 kJ per mole of atoms. For the density of states at the Fermi level, the calculation gives 0.4060 states/eV/atom.

=====

## LiIn2Pb (meta-GGA SCAN)

Data for LiIn2Pb at its PBEsol-relaxed geometry.

abc: 3.3705 3.3705 30.0798
angles: 90.00 90.00 120.00
Space group R-3m (No. 166, hexagonal axes)
Inequivalent atoms, fractional coordinates:
1 Li 0.0000 0.0000 0.0000 [3 per cell]
2 In 0.0000 0.0000 0.2580 [6 per cell]
3 Pb 0.0000 0.0000 0.5000 [3 per cell]

The calculation puts the formation energy at -8.9 kJ per mole of atoms. For the density of states at the Fermi level, the calculation gives 0.3796 states/eV/atom.

=====

## LiInPb2 (meta-GGA SCAN)

Data for LiInPb2 at its PBEsol-relaxed geometry.

abc: 3.434 3.434 8.449
angles: 90.00 90.00 90.00
Space group P4/mmm (No. 123)
Inequivalent atoms, fractional coordinates:
1 Li 0.000 0.000 0.000 [1 per cell]
2 In 0.000 0.000 0.500 [1 per cell]
3 Pb 0.500 0.500 0.219 [2 per cell]

The calculation puts the formation energy at -13.5 kJ per mole of atoms. For the density of states at the Fermi level, the calculation gives 0.3989 states/eV/atom.

=====

## LiIn2Pb (meta-GGA SCAN)

Data for LiIn2Pb at its PBEsol-relaxed geometry.

abc: 6.101 9.751 3.300
angles: 90.00 90.00 90.00
Space group Cmmm (No. 65)
Inequivalent atoms, fractional coordinates:
1 Li 0.000 0.000 0.000 [2 per cell]
2 In 0.250 0.250 0.500 [4 per cell]
3 Pb 0.000 0.500 0.000 [2 per cell]

The calculation puts the formation energy at -12.0 kJ per mole of atoms. For the density of states at the Fermi level, the calculation gives 0.4921 states/eV/atom.

=====

## LiInPb2 (meta-GGA SCAN)

Data for LiInPb2 at its PBEsol-relaxed geometry.

abc: 3.528 4.420 6.611
angles: 90.00 90.00 90.00
Space group Pmm2 (No. 25)
Inequivalent atoms, fractional coordinates:
1 Li 0.000 0.000 0.000 [1 per cell]
2 In 0.500 0.500 0.768 [1 per cell]
3 Pb 0.000 0.000 0.515 [1 per cell]
4 Pb 0.500 0.500 0.240 [1 per cell]

The calculation puts the formation energy at -13.4 kJ per mole of atoms. For the density of states at the Fermi level, the calculation gives 0.4021 states/eV/atom.

=====

## LiInPb2 (meta-GGA SCAN)

Data for LiInPb2 at its PBEsol-relaxed geometry.

abc: 3.631 5.255 10.648
angles: 90.00 90.00 90.00
Space group Imm2 (No. 44)
Inequivalent atoms, fractional coordinates:
1 Li 0.000 0.000 0.000 [2 per cell]
2 In 0.000 0.500 0.725 [2 per cell]
3 Pb 0.000 0.000 0.491 [2 per cell]
4 Pb 0.000 0.500 0.264 [2 per cell]

The calculation puts the formation energy at -12.0 kJ per mole of atoms. For the density of states at the Fermi level, the calculation gives 0.4303 states/eV/atom.